(1)
Material: Ba2V2O7
Method: DFT, SCAN
State: PBEsol geometry

Cell lengths 7.301, 7.308, 13.521 Å; angles 80.60, 87.78, 89.68 degrees
Space group P-1 (No. 2)
Unique sites:
Ba (0.086, 0.331, 0.158) [2 per cell]
Ba (0.228, 0.743, 0.343) [2 per cell]
Ba (0.329, 0.284, 0.857) [2 per cell]
Ba (0.362, 0.868, 0.642) [2 per cell]
V (0.158, 0.809, 0.084) [2 per cell]
V (0.170, 0.196, 0.413) [2 per cell]
V (0.229, 0.400, 0.603) [2 per cell]
V (0.433, 0.803, 0.894) [2 per cell]
O (0.006, 0.119, 0.346) [2 per cell]
O (0.006, 0.324, 0.954) [2 per cell]
O (0.057, 0.951, 0.155) [2 per cell]
O (0.087, 0.284, 0.525) [2 per cell]
O (0.093, 0.443, 0.701) [2 per cell]
O (0.294, 0.660, 0.158) [2 per cell]
O (0.295, 0.354, 0.335) [2 per cell]
O (0.297, 0.926, 0.977) [2 per cell]
O (0.299, 0.667, 0.835) [2 per cell]
O (0.314, 0.015, 0.448) [2 per cell]
O (0.314, 0.597, 0.538) [2 per cell]
O (0.397, 0.257, 0.654) [2 per cell]
O (0.397, 0.318, 0.047) [2 per cell]
O (0.478, 0.032, 0.197) [2 per cell]

## Properties
ΔE_f (raw) ... -3.04 eV/atom
Crystal system ... triclinic

(2)
Material: SiAgSe2
Method: DFT, SCAN
State: PBEsol geometry

Cell lengths 2.741, 3.727, 7.535 Å; angles 90.00, 98.56, 90.00 degrees
Space group P2/m (No. 10)
Unique sites:
Si (0.000, 0.000, 0.000) [1 per cell]
Ag (0.000, 0.000, 0.500) [1 per cell]
Se (0.105, 0.500, 0.241) [2 per cell]

## Properties
ΔE_f (raw) ... 0.10 eV/atom
Crystal system ... monoclinic

(3)
Material: La2PtAu
Method: DFT, SCAN
State: PBEsol geometry

Cell lengths 4.596, 3.957, 11.143 Å; angles 90.00, 90.00, 90.00 degrees
Space group Amm2 (No. 38)
Unique sites:
La (0.000, 0.000, 0.000) [2 per cell]
La (0.500, 0.000, 0.273) [2 per cell]
Pt (0.000, 0.000, 0.729) [2 per cell]
Au (0.500, 0.000, 0.551) [2 per cell]

## Properties
Energy relative to the elements ... -4.87 eV/f.u.
Crystal system ... orthorhombic

Number 1: D(E_F) 0.00 states/eV/f.u., DFT total energy -17.380 eV/atom. Number 2: D(E_F) 0.94 states/eV/f.u., DFT total energy -20.282 eV/atom. Number 3: D(E_F) 3.35 states/eV/f.u., DFT total energy -57.608 eV/atom.